# 1
A relaxed structure of Cd2Sb2Au. Source: the Alexandria database, functional PBE.

Geometry as POSCAR:
```
Cd2Sb2Au
1.0
-1.441 -6.551 3.891
-1.085 -3.743 -6.704
4.289 -1.018 -0.126
Cd Sb Au
4 4 2
direct
0.634 0.866 0.500 Cd
0.866 0.366 0.500 Cd
0.366 0.134 0.500 Cd
0.134 0.634 0.500 Cd
0.683 0.183 0.000 Sb
0.183 0.317 0.000 Sb
0.317 0.817 0.000 Sb
0.817 0.683 0.000 Sb
0.500 0.500 0.000 Au
0.000 0.000 0.000 Au
```

energy above the lowest structure with this stoichiometry	0	meV per atom
SG	P4/mbm
density of states at the Fermi level	5.3	states/eV per cell
energy relative to the elements, uncorrected	9.7	kJ/mol of atoms

***

# 2
A relaxed structure of CdSbAu2. Source: the Alexandria database, functional PBE.

Geometry as POSCAR:
```
CdSbAu2
1.0
6.869 0.767 0.002
4.131 5.541 -0.002
-5.037 -3.962 2.589
Au Sb Cd
2 1 1
direct
0.807 0.307 0.500 Au
0.017 0.017 0.000 Au
0.212 0.712 0.500 Sb
0.463 0.463 0.000 Cd
```

energy above the lowest structure with this stoichiometry	74	meV per atom
SG	Imm2
density of states at the Fermi level	1.3	states/eV per cell
energy relative to the elements, uncorrected	-1.7	kJ/mol of atoms